Here is a crystal of BeAl2FeSe relaxed with PBEsol from Alexandria. Energies are from SCAN.

The structure in CIF format:
```
data_BeAl2FeSe
_symmetry_space_group_name_H-M 'P 1'
_symmetry_Int_Tables_number 1
_cell_length_a 4.9634
_cell_length_b 4.9634
_cell_length_c 3.8767
_cell_angle_alpha 90.00
_cell_angle_beta 90.00
_cell_angle_gamma 90.00
loop_
_symmetry_equiv_pos_as_xyz
'x,y,z'
loop_
_atom_site_label
_atom_site_fract_x
_atom_site_fract_y
_atom_site_fract_z
_atom_site_occupancy
Be1 0.0000 0.0000 0.0000 1
Al1 0.0000 0.5000 0.5000 1
Al2 0.5000 0.0000 0.5000 1
Fe1 0.5000 0.5000 0.0000 1
Se1 0.0000 0.0000 0.5000 1
```

Results
**Formation energy (no corrections)**: 5.02 eV/f.u.


Here is a crystal of BeAl3Ga relaxed with PBEsol from Alexandria. Energies are from SCAN.

The structure in CIF format:
```
data_BeAl3Ga
_symmetry_space_group_name_H-M 'P 1'
_symmetry_Int_Tables_number 1
_cell_length_a 4.3729
_cell_length_b 4.3729
_cell_length_c 4.3729
_cell_angle_alpha 90.00
_cell_angle_beta 90.00
_cell_angle_gamma 90.00
loop_
_symmetry_equiv_pos_as_xyz
'x,y,z'
loop_
_atom_site_label
_atom_site_fract_x
_atom_site_fract_y
_atom_site_fract_z
_atom_site_occupancy
Be1 0.0000 0.0000 0.0000 1
Al1 0.0000 0.0000 0.5000 1
Al2 0.0000 0.5000 0.0000 1
Al3 0.5000 0.0000 0.0000 1
Ga1 0.5000 0.5000 0.5000 1
```

Results
**Energy of formation**: 0.402 eV/atom